Version one
Compound: ScBeB3
Source: Alexandria
Functional: PBE
Structure: optimized geometry Values from VASP.

Its space-group type is Pm-3m. The value obtained for the total moment is 0.0 μB per cell.

Structure (Quantum ESPRESSO input):
```
&SYSTEM
  ibrav = 0, nat = 5, ntyp = 3
/
ATOMIC_SPECIES
Sc 44.96 Sc.upf
Be 9.01 Be.upf
B 10.81 B.upf
CELL_PARAMETERS angstrom
4.290 0.000 0.000
0.000 4.290 0.000
0.000 0.000 4.290
ATOMIC_POSITIONS crystal
Sc 0.000 0.000 0.000
Be 0.500 0.500 0.500
B 0.000 0.500 0.000
B 0.000 0.000 0.500
B 0.500 0.000 0.000
```

---

Version two
Compound: ScBeB3
Source: Alexandria
Functional: PBE
Structure: optimized geometry Values from VASP.

Its space-group type is Pm-3m. The value obtained for the total moment is 0.0 μB per cell.

Structure (Quantum ESPRESSO input):
```
&SYSTEM
  ibrav = 0, nat = 5, ntyp = 3
/
ATOMIC_SPECIES
Sc 44.96 Sc.upf
Be 9.01 Be.upf
B 10.81 B.upf
CELL_PARAMETERS angstrom
-0.629 -1.716 3.173
3.501 0.489 0.958
-0.872 3.198 1.557
ATOMIC_POSITIONS crystal
Sc 0.500 0.500 0.500
Be 0.000 0.000 0.000
B 0.000 0.500 0.000
B 0.000 0.000 0.500
B 0.500 0.000 0.000
```

---

Ordering by calculated energy gives the sequence version two, version one, with the first entry being the most stable.

---

Version one
Compound: Sc2BeB
Source: Alexandria
Functional: PBE
Structure: optimized geometry Values from VASP.

Its space-group type is R-3m. The value obtained for the total moment is 0.0 μB per cell.

Structure (Quantum ESPRESSO input):
```
&SYSTEM
  ibrav = 0, nat = 4, ntyp = 3
/
ATOMIC_SPECIES
Sc 44.96 Sc.upf
Be 9.01 Be.upf
B 10.81 B.upf
CELL_PARAMETERS angstrom
4.663 7.619 0.440
7.011 5.535 0.436
5.738 6.470 -2.277
ATOMIC_POSITIONS crystal
Sc 0.908 0.908 0.908
Sc 0.092 0.092 0.092
Be 0.500 0.500 0.500
B 0.000 0.000 0.000
```

---

Version two
Compound: Sc2BeB
Source: Alexandria
Functional: PBE
Structure: optimized geometry Values from VASP.

Its space-group type is Fm-3m. The value obtained for the total moment is 0.0 μB per cell.

Structure (Quantum ESPRESSO input):
```
&SYSTEM
  ibrav = 0, nat = 4, ntyp = 3
/
ATOMIC_SPECIES
Sc 44.96 Sc.upf
Be 9.01 Be.upf
B 10.81 B.upf
CELL_PARAMETERS angstrom
0.000 3.045 3.045
3.045 0.000 3.045
3.045 3.045 0.000
ATOMIC_POSITIONS crystal
Sc 0.250 0.250 0.250
Sc 0.750 0.750 0.750
Be 0.000 0.000 0.000
B 0.500 0.500 0.500
```

---

Ordering by calculated energy gives the sequence version two, version one, with the first entry being the most stable.

---

Version one
Compound: Sc2BeB
Source: Alexandria
Functional: PBE
Structure: optimized geometry Values from VASP.

Its space-group type is R-3m. The value obtained for the total moment is 0.0 μB per cell.

Structure (Quantum ESPRESSO input):
```
&SYSTEM
  ibrav = 0, nat = 4, ntyp = 3
/
ATOMIC_SPECIES
Sc 44.96 Sc.upf
Be 9.01 Be.upf
B 10.81 B.upf
CELL_PARAMETERS angstrom
8.308 2.314 -0.039
8.561 -0.900 0.523
8.239 0.205 -2.541
ATOMIC_POSITIONS crystal
Sc 0.889 0.889 0.889
Sc 0.111 0.111 0.111
Be 0.000 0.000 0.000
B 0.500 0.500 0.500
```

---

Version two
Compound: Sc2BeB
Source: Alexandria
Functional: PBE
Structure: optimized geometry Values from VASP.

Its space-group type is I-42d. The value obtained for the total moment is 0.0 μB per cell.

Structure (Quantum ESPRESSO input):
```
&SYSTEM
  ibrav = 0, nat = 8, ntyp = 3
/
ATOMIC_SPECIES
Sc 44.96 Sc.upf
Be 9.01 Be.upf
B 10.81 B.upf
CELL_PARAMETERS angstrom
-1.766 6.240 -1.642
-4.133 0.213 5.256
-0.740 4.298 3.501
ATOMIC_POSITIONS crystal
Sc 0.663 0.125 0.250
Sc 0.087 0.625 0.250
Sc 0.375 0.337 0.750
Sc 0.875 0.913 0.750
Be 0.500 0.500 0.000
Be 0.250 0.750 0.500
B 0.000 0.000 0.000
B 0.750 0.250 0.500
```

---

Ordering by calculated energy gives the sequence version two, version one, with the first entry being the most stable.

---

Version one
Compound: Sc2BeB2
Source: Alexandria
Functional: PBE
Structure: optimized geometry Values from VASP.

Its space-group type is C2/m. The value obtained for the total moment is 0.3 μB per cell.

Structure (Quantum ESPRESSO input):
```
&SYSTEM
  ibrav = 0, nat = 10, ntyp = 3
/
ATOMIC_SPECIES
Sc 44.96 Sc.upf
Be 9.01 Be.upf
B 10.81 B.upf
CELL_PARAMETERS angstrom
3.500 0.000 0.000
1.750 4.572 -0.379
1.750 0.037 7.765
ATOMIC_POSITIONS crystal
Sc 0.301 0.302 0.096
Sc 0.559 0.225 0.657
Sc 0.699 0.698 0.904
Sc 0.441 0.775 0.343
Be 0.741 0.198 0.320
Be 0.259 0.802 0.680
B 0.009 0.082 0.899
B 0.112 0.354 0.422
B 0.991 0.918 0.101
B 0.888 0.646 0.578
```

---

Version two
Compound: Sc2BeB2
Source: Alexandria
Functional: PBE
Structure: optimized geometry Values from VASP.

Its space-group type is P4/mbm. The value obtained for the total moment is 0.0 μB per cell.

Structure (Quantum ESPRESSO input):
```
&SYSTEM
  ibrav = 0, nat = 10, ntyp = 3
/
ATOMIC_SPECIES
Sc 44.96 Sc.upf
Be 9.01 Be.upf
B 10.81 B.upf
CELL_PARAMETERS angstrom
-5.976 -1.073 0.188
1.089 -5.847 1.236
-0.021 0.704 3.348
ATOMIC_POSITIONS crystal
Sc 0.185 0.685 0.500
Sc 0.685 0.815 0.500
Sc 0.815 0.315 0.500
Sc 0.315 0.185 0.500
Be 0.000 0.000 0.000
Be 0.500 0.500 0.000
B 0.402 0.902 0.000
B 0.902 0.598 0.000
B 0.598 0.098 0.000
B 0.098 0.402 0.000
```

---

Ordering by calculated energy gives the sequence version one, version two, with the first entry being the most stable.